Record 1
ReSN2O at its PBEsol-relaxed geometry, computed with meta-GGA SCAN.

Computed properties:
E_form (uncorrected) = 0.980 eV per atom

a b c (Å): 3.727 3.727 4.832
angles (deg): 90.00 90.00 90.00
Fractional positions:
Re1 0.000 0.000 0.000
S1 0.000 0.000 0.500
N1 0.000 0.500 0.000
N2 0.500 0.000 0.000
O1 0.500 0.500 0.500

***

Record 2
FeTc at its PBEsol-relaxed geometry, computed with meta-GGA SCAN.

Computed properties:
Formation energy = 0.026 eV per atom

a b c (Å): 2.851 2.851 6.135
angles (deg): 90.00 90.00 90.00
Fractional positions:
Fe1 0.250 0.250 0.106
Fe2 0.750 0.750 0.894
Tc1 0.250 0.250 0.639
Tc2 0.750 0.750 0.361